VASP calculation (GGA+U) on a geometry-optimized Li2NpMoO6 structure.

Output
- space group = P1, No. 1
- crystal system = triclinic
- M_tot (μB per atom) = 0.3000
- VASP energy (eV/cell) = -76.36

Cell lengths 5.293, 5.333, 5.673 Å; angles 62.56, 62.12, 60.23 degrees
Site moments in Bohr magnetons follow the coordinates.
Atoms (fractional coordinates):
O 0.710 0.077 0.774  -0.04
O 0.445 0.705 0.770  -0.05
O 0.932 0.593 0.276  -0.05
O 0.089 0.434 0.781  -0.04
O 0.580 0.208 0.272  -0.04
O 0.196 0.932 0.276  -0.05
Np 0.320 0.319 0.040  1.50
Li 0.037 0.031 0.899  0.00
Li 0.534 0.542 0.386  0.00
Mo 0.818 0.822 0.541  1.74

=====

VASP calculation (GGA+U) on a geometry-optimized Na2TbMoF8 structure.

Output
- space group = P2/m, No. 10
- crystal system = monoclinic
- M_tot (μB per atom) = 0.2500
- VASP energy (eV/cell) = -67.00

Cell lengths 3.988, 5.539, 7.372 Å; angles 90.02, 90.00, 87.34 degrees
Site moments in Bohr magnetons follow the coordinates.
Atoms (fractional coordinates):
Mo 0.000 0.000 0.000  2.80
F 0.950 0.775 0.240  0.01
F 0.050 0.225 0.760  0.01
F 0.484 0.769 0.500  0.00
F 0.950 0.775 0.760  0.01
F 0.571 0.232 0.000  0.03
F 0.050 0.225 0.240  0.01
F 0.429 0.768 0.000  0.03
F 0.516 0.231 0.500  0.00
Na 0.500 0.500 0.240  0.00
Na 0.500 0.500 0.760  0.00
Tb 0.000 0.000 0.500  0.00

=====

Q: What is the M_tot in the second record?
A: 0.2500 μB per atom